A plane-wave DFT calculation with PBE-GGA was carried out for a relaxed structure of Y2SiPb.

POSCAR file:
```
Y2SiPb
1.0
7.422 0.000 0.000
0.000 7.422 0.000
0.000 0.000 7.422
Y Si Pb
8 4 4
Direct
0.250 0.250 0.250
0.250 0.250 0.750
0.250 0.750 0.250
0.250 0.750 0.750
0.750 0.250 0.250
0.750 0.250 0.750
0.750 0.750 0.250
0.750 0.750 0.750
0.000 0.000 0.000
0.000 0.500 0.500
0.500 0.000 0.500
0.500 0.500 0.000
0.000 0.000 0.500
0.000 0.500 0.000
0.500 0.000 0.000
0.500 0.500 0.500
```

Results
**DOS at the Fermi energy**: 19.69 states/eV/cell
**Total magnetization**: 0.0 μB/cell
**Total energy**: -5.853 eV/atom
**Formation energy without anion corrections**: -0.338 eV/atom
**Calculated density**: 6.71 g/cm3